# HgAs2Cl | Alexandria via LeMat-Bulk | GGA-PBE | relaxed
# Crystal system: cubic
# E above lowest polymorph: 0.577 eV per atom
# Fermi-level density of states: 6.538 states/eV/cell
data_HgAs2Cl
_chemical_formula_sum 'Hg4 As8 Cl4'
_space_group_name_H-M_alt 'F m -3 m'
_space_group_IT_number 225
_space_group_name_Hall '-F 4 2 3'
_cell_length_a 6.934
_cell_length_b 6.934
_cell_length_c 6.934
_cell_angle_alpha 90.00
_cell_angle_beta 90.00
_cell_angle_gamma 90.00
loop_
_atom_site_label
_atom_site_type_symbol
_atom_site_fract_x
_atom_site_fract_y
_atom_site_fract_z
_atom_site_occupancy
Hg1 Hg 0.000 0.000 0.000 1
As1 As 0.250 0.250 0.250 1
Cl1 Cl 0.000 0.000 0.500 1